No. 1
VASP calculation (PBEsol) on a geometry-optimized Ba2TlHg structure.

The value obtained for the spin magnetization is 0.00 μB/cell. For the formation energy, the calculation gives -498 meV/atom.

POSCAR file:
```
Ba2TlHg
1.0
8.290 0.000 0.000
0.000 8.290 0.000
0.000 0.000 8.290
Ba Tl Hg
8 4 4
Direct
0.250 0.250 0.250 Ba
0.250 0.250 0.750 Ba
0.250 0.750 0.250 Ba
0.250 0.750 0.750 Ba
0.750 0.250 0.250 Ba
0.750 0.250 0.750 Ba
0.750 0.750 0.250 Ba
0.750 0.750 0.750 Ba
0.000 0.000 0.000 Tl
0.000 0.500 0.500 Tl
0.500 0.000 0.500 Tl
0.500 0.500 0.000 Tl
0.000 0.000 0.500 Hg
0.000 0.500 0.000 Hg
0.500 0.000 0.000 Hg
0.500 0.500 0.500 Hg
```

No. 2
VASP calculation (PBEsol) on a geometry-optimized MnINF2 structure.

The value obtained for the spin magnetization is 5.48 μB/cell. Its uncorrected formation energy is 0.447 eV per atom.

POSCAR file:
```
MnINF2
1.0
4.733 0.000 0.000
0.000 4.733 0.000
0.000 0.000 4.015
Mn I N F
1 1 1 2
Direct
0.000 0.000 0.000 Mn
0.500 0.500 0.500 I
0.500 0.500 0.000 N
0.000 0.500 0.500 F
0.500 0.000 0.500 F
```

No. 3
VASP calculation (PBEsol) on a geometry-optimized Tb3GaCoS7 structure.

The value obtained for the spin magnetization is 2.02 μB/cell. Its uncorrected formation energy is -1.530 eV per atom.

POSCAR file:
```
Tb3GaCoS7
1.0
9.391 0.000 0.000
-4.696 8.133 0.000
0.000 0.000 6.072
Tb Ga Co S
6 2 2 14
Direct
0.162 0.788 0.000 Tb
0.212 0.374 0.000 Tb
0.374 0.162 0.500 Tb
0.626 0.838 0.000 Tb
0.788 0.626 0.500 Tb
0.838 0.212 0.500 Tb
0.333 0.667 0.424 Ga
0.667 0.333 0.924 Ga
0.000 0.000 0.340 Co
0.000 0.000 0.840 Co
0.081 0.522 0.273 S
0.099 0.876 0.593 S
0.124 0.223 0.593 S
0.223 0.099 0.093 S
0.333 0.667 0.791 S
0.441 0.919 0.273 S
0.478 0.559 0.273 S
0.522 0.441 0.773 S
0.559 0.081 0.773 S
0.667 0.333 0.291 S
0.777 0.901 0.593 S
0.876 0.777 0.093 S
0.901 0.124 0.093 S
0.919 0.478 0.773 S
```

No. 4
VASP calculation (PBEsol) on a geometry-optimized TlIBr2 structure.

The value obtained for the spin magnetization is 0.12 μB/cell. Its uncorrected formation energy is -0.382 eV per atom.

POSCAR file:
```
TlIBr2
1.0
5.133 0.000 0.000
-2.567 4.445 0.000
0.000 0.000 24.649
Tl I Br
3 3 6
Direct
0.000 0.000 0.000 Tl
0.333 0.667 0.667 Tl
0.667 0.333 0.333 Tl
0.000 0.000 0.500 I
0.333 0.667 0.167 I
0.667 0.333 0.833 I
0.000 0.000 0.390 Br
0.000 0.000 0.610 Br
0.333 0.667 0.057 Br
0.333 0.667 0.276 Br
0.667 0.333 0.724 Br
0.667 0.333 0.943 Br
```

No. 5
VASP calculation (PBEsol) on a geometry-optimized CdRuSeBr2 structure.

The value obtained for the spin magnetization is 3.91 μB/cell. Its uncorrected formation energy is 0.971 eV per atom.

POSCAR file:
```
CdRuSeBr2
1.0
5.206 0.000 0.000
0.000 5.206 0.000
0.000 0.000 5.238
Cd Ru Se Br
1 1 1 2
Direct
0.000 0.000 0.000 Cd
0.500 0.500 0.500 Ru
0.000 0.000 0.500 Se
0.000 0.500 0.000 Br
0.500 0.000 0.000 Br
```

No. 6
VASP calculation (PBEsol) on a geometry-optimized CaBeOs structure.

The value obtained for the spin magnetization is 0.00 μB/cell. For the formation energy, the calculation gives 805 meV/atom.

POSCAR file:
```
CaBeOs
1.0
5.871 0.000 0.000
0.000 5.871 0.000
0.000 0.000 5.871
Ca Be Os
4 4 4
Direct
0.000 0.000 0.000 Ca
0.000 0.500 0.500 Ca
0.500 0.000 0.500 Ca
0.500 0.500 0.000 Ca
0.250 0.250 0.750 Be
0.250 0.750 0.250 Be
0.750 0.250 0.250 Be
0.750 0.750 0.750 Be
0.000 0.000 0.500 Os
0.000 0.500 0.000 Os
0.500 0.000 0.000 Os
0.500 0.500 0.500 Os
```

No. 7
VASP calculation (PBEsol) on a geometry-optimized BOsI2O structure.

The value obtained for the spin magnetization is 0.00 μB/cell. Its uncorrected formation energy is 0.814 eV per atom.

POSCAR file:
```
BOsI2O
1.0
5.440 0.000 0.000
0.000 5.440 0.000
0.000 0.000 3.700
B Os I O
1 1 2 1
Direct
0.000 0.000 0.000 B
0.500 0.500 0.500 Os
0.000 0.500 0.500 I
0.500 0.000 0.500 I
0.500 0.500 0.000 O
```

No. 8
VASP calculation (PBEsol) on a geometry-optimized La2Ir structure.

The value obtained for the spin magnetization is 0.00 μB/cell. For the formation energy, the calculation gives -435 meV/atom.

POSCAR file:
```
La2Ir
1.0
4.159 0.000 0.000
0.000 15.742 0.000
0.000 0.000 5.848
La Ir
8 4
Direct
0.000 0.072 0.250 La
0.000 0.314 0.250 La
0.000 0.686 0.750 La
0.000 0.928 0.750 La
0.500 0.186 0.750 La
0.500 0.428 0.750 La
0.500 0.572 0.250 La
0.500 0.814 0.250 La
0.000 0.315 0.750 Ir
0.000 0.685 0.250 Ir
0.500 0.185 0.250 Ir
0.500 0.815 0.750 Ir
```

No. 9
VASP calculation (PBEsol) on a geometry-optimized CoIr3 structure.

The value obtained for the spin magnetization is 9.60 μB/cell. For the formation energy, the calculation gives 522 meV/atom.

POSCAR file:
```
CoIr3
1.0
8.504 0.000 0.000
-4.252 7.365 0.000
0.000 0.000 2.644
Co Ir
3 9
Direct
0.000 0.000 0.000 Co
0.333 0.667 0.667 Co
0.667 0.333 0.333 Co
0.000 0.500 0.000 Ir
0.167 0.333 0.333 Ir
0.167 0.833 0.333 Ir
0.333 0.167 0.667 Ir
0.500 0.000 0.000 Ir
0.500 0.500 0.000 Ir
0.667 0.833 0.333 Ir
0.833 0.167 0.667 Ir
0.833 0.667 0.667 Ir
```

No. 10
VASP calculation (PBEsol) on a geometry-optimized Eu3S4 structure.

The value obtained for the spin magnetization is 38.00 μB/cell. Its uncorrected formation energy is -2.005 eV per atom.

POSCAR file:
```
Eu3S4
1.0
-4.208 4.208 4.208
4.208 -4.208 4.208
4.208 4.208 -4.208
Eu S
6 8
Direct
0.125 0.750 0.875 Eu
0.250 0.625 0.375 Eu
0.375 0.250 0.625 Eu
0.625 0.375 0.250 Eu
0.750 0.875 0.125 Eu
0.875 0.125 0.750 Eu
0.000 0.351 0.500 S
0.000 0.851 0.500 S
0.149 0.149 0.149 S
0.351 0.500 0.000 S
0.500 0.000 0.351 S
0.500 0.000 0.851 S
0.649 0.649 0.649 S
0.851 0.500 0.000 S
```

No. 11
VASP calculation (PBEsol) on a geometry-optimized K2CaAs2O7 structure.

The value obtained for the spin magnetization is 0.00 μB/cell. Its uncorrected formation energy is -1.880 eV per atom.

POSCAR file:
```
K2CaAs2O7
1.0
9.234 0.000 0.000
0.000 5.850 0.000
-4.036 0.000 14.043
K Ca As O
8 4 8 28
Direct
0.032 0.231 0.333 K
0.032 0.269 0.833 K
0.468 0.249 0.884 K
0.468 0.251 0.384 K
0.532 0.749 0.616 K
0.532 0.751 0.116 K
0.968 0.731 0.167 K
0.968 0.769 0.667 K
0.233 0.227 0.637 Ca
0.233 0.273 0.137 Ca
0.767 0.727 0.863 Ca
0.767 0.773 0.363 Ca
0.185 0.706 0.472 As
0.185 0.794 0.972 As
0.326 0.742 0.802 As
0.326 0.758 0.302 As
0.674 0.242 0.698 As
0.674 0.258 0.198 As
0.815 0.206 0.028 As
0.815 0.294 0.528 As
0.026 0.739 0.884 O
0.026 0.761 0.384 O
0.215 0.635 0.072 O
0.215 0.865 0.572 O
0.217 0.076 0.997 O
0.217 0.424 0.497 O
0.228 0.509 0.750 O
0.228 0.991 0.250 O
0.236 0.505 0.272 O
0.236 0.995 0.772 O
0.341 0.704 0.928 O
0.341 0.796 0.428 O
0.491 0.241 0.695 O
0.491 0.259 0.195 O
0.509 0.741 0.805 O
0.509 0.759 0.305 O
0.659 0.204 0.572 O
0.659 0.296 0.072 O
0.764 0.005 0.228 O
0.764 0.495 0.728 O
0.772 0.009 0.750 O
0.772 0.491 0.250 O
0.783 0.576 0.503 O
0.783 0.924 0.003 O
0.785 0.135 0.428 O
0.785 0.365 0.928 O
0.974 0.239 0.616 O
0.974 0.261 0.116 O
```

No. 12
VASP calculation (PBEsol) on a geometry-optimized Ba2Pb structure.

The value obtained for the spin magnetization is 0.00 μB/cell. For the formation energy, the calculation gives -561 meV/atom.

POSCAR file:
```
Ba2Pb
1.0
8.453 0.000 0.000
0.000 5.709 0.000
0.000 0.000 10.648
Ba Pb
8 4
Direct
0.019 0.250 0.186 Ba
0.165 0.250 0.580 Ba
0.335 0.750 0.080 Ba
0.481 0.750 0.686 Ba
0.519 0.250 0.314 Ba
0.665 0.250 0.920 Ba
0.835 0.750 0.420 Ba
0.981 0.750 0.814 Ba
0.244 0.250 0.899 Pb
0.256 0.750 0.399 Pb
0.744 0.250 0.601 Pb
0.756 0.750 0.101 Pb
```

Calculated values (eV per cell) of VASP energy for the records, taken in order: -37.942 -21.676 -150.323 -28.998 -14.105 -63.737 -23.944 -87.289 -105.353 -126.520 -295.649 -39.912.